(1)
# KErCu2Cl8, relaxed, DFT PBE
data_KErCu2Cl8
_chemical_formula_sum 'K2 Er2 Cu4 Cl16'
_cell_length_a 6.435
_cell_length_b 6.435
_cell_length_c 14.415
_cell_angle_alpha 90.00
_cell_angle_beta 90.00
_cell_angle_gamma 90.00
_space_group_name_H-M_alt 'I -4'
_space_group_IT_number 82
loop_
_space_group_symop_operation_xyz
'x,y,z'
'y,-x,-z'
'-x,-y,z'
'-y,x,-z'
'x+1/2,y+1/2,z+1/2'
'y+1/2,-x+1/2,-z+1/2'
'-x+1/2,-y+1/2,z+1/2'
'-y+1/2,x+1/2,-z+1/2'
loop_
_atom_site_label
_atom_site_type_symbol
_atom_site_fract_x
_atom_site_fract_y
_atom_site_fract_z
K1 K 0.000 0.000 0.000
Er1 Er 0.000 0.500 0.250
Cu1 Cu 0.000 0.000 0.500
Cu2 Cu 0.000 0.500 0.750
Cl1 Cl 0.128 0.270 0.414
Cl2 Cl 0.171 0.779 0.810
# Total magnetic moment = 4.09 Bohr magnetons per cell
# Energy relative to the elements, uncorrected = -1.24 eV/atom
# DFT total energy = -86.906 eV per cell

(2)
# BaBeCo, relaxed, DFT PBE
data_BaBeCo
_chemical_formula_sum 'Ba1 Be1 Co1'
_cell_length_a 3.9195
_cell_length_b 3.9195
_cell_length_c 4.8006
_cell_angle_alpha 90.00
_cell_angle_beta 90.00
_cell_angle_gamma 120.00
_space_group_name_H-M_alt 'P -6 m 2'
_space_group_IT_number 187
_space_group_name_Hall 'P -6 2'
loop_
_atom_site_label
_atom_site_type_symbol
_atom_site_fract_x
_atom_site_fract_y
_atom_site_fract_z
Ba1 Ba 0.0000 0.0000 0.0000
Be1 Be 0.6667 0.3333 0.5000
Co1 Co 0.3333 0.6667 0.5000
# Total magnetic moment = 0.00 Bohr magnetons per cell
# Formation energy = 0.433 eV/atom
# Excess energy over the best structure of this formula in the dataset = 0.000 eV per atom
# DFT total energy = -11.457 eV per cell

> The highest DFT total energy belongs to which entry?

BaBeCo

> What is the formula in the first record?

KErCu2Cl8

> Number 2 is which compound?

BaBeCo

> DFT total energy of number 2 (BaBeCo)?

-11.457 eV per cell